No. 1
Density functional theory data (PBE-GGA) for ErZrBeFe after structural relaxation.

Unit cell a=4.5976 b=4.5976 c=4.5976 alpha=60.00 beta=60.00 gamma=60.00
Fractional coordinates of all 4 atoms:
Er (0.0000, 0.0000, 0.0000)
Zr (0.5000, 0.5000, 0.5000)
Be (0.7500, 0.7500, 0.7500)
Fe (0.2500, 0.2500, 0.2500)

Computed properties:
The calculated volume is 17.18 Å³ per atom. The space group is F-43m, No. 216. The calculation puts the total energy at -6.303 eV/atom. Its energy relative to the elements is 0.022 eV/atom.


No. 2
Density functional theory data (PBE-GGA) for Er2BeGa3 after structural relaxation.

Unit cell a=3.7573 b=4.1902 c=7.2548 alpha=90.00 beta=90.00 gamma=90.00
Fractional coordinates of all 6 atoms:
Er (0.0000, 0.0000, 0.0000)
Er (0.0000, 0.5000, 0.4896)
Be (0.5000, 0.0000, 0.3233)
Ga (0.5000, 0.0000, 0.6423)
Ga (0.5000, 0.5000, 0.1762)
Ga (0.5000, 0.5000, 0.8299)

Computed properties:
The calculated volume is 19.04 Å³ per atom. The excess energy over the best structure of this formula in the dataset comes out at 6 meV/atom. The space group is Pmm2, No. 25. The calculation puts the total energy at -4.182 eV/atom. Its energy relative to the elements is -0.526 eV/atom.


What is the formula in the first record?
ErZrBeFe